# 1
A relaxed structure of SmInCu2. Source: the Alexandria database, functional PBE.

Lattice parameters (Å, degrees): 4.7609 4.7609 4.7609 60.00 60.00 60.00
Fractional positions:
Cu: 0.2500 0.2500 0.2500
Cu: 0.7500 0.7500 0.7500
Sm: 0.5000 0.5000 0.5000
In: 0.0000 0.0000 0.0000

Calculated values
**Crystal system**: cubic
**Formation energy**: -0.31 eV per atom
**Density**: 8.54 Mg/m³


# 2
A relaxed structure of Li2Tm2ScTl2. Source: the Alexandria database, functional PBE.

Lattice parameters (Å, degrees): 4.7301 4.7301 9.0641 74.88 74.88 60.00
Fractional positions:
Li: 0.6138 0.6138 0.1586
Li: 0.3862 0.3862 0.8414
Tm: 0.1255 0.1255 0.6234
Tm: 0.8745 0.8745 0.3766
Sc: 0.0000 0.0000 0.0000
Tl: 0.7352 0.7352 0.7945
Tl: 0.2648 0.2648 0.2055

Calculated values
**Crystal system**: trigonal
**Formation energy**: -0.14 eV per atom
**Density**: 7.99 Mg/m³


# 3
A relaxed structure of Sm2DyTl. Source: the Alexandria database, functional PBE.

Lattice parameters (Å, degrees): 3.5754 3.5754 12.3997 81.71 81.71 60.00
Fractional positions:
Tl: 0.0000 0.0000 0.0000
Sm: 0.0889 0.0889 0.7334
Sm: 0.9111 0.9111 0.2666
Dy: 0.5000 0.5000 0.5000

Calculated values
**Crystal system**: trigonal
**ΔE to the lowest computed polymorph**: 269 meV per atom
**Formation energy**: 0.08 eV per atom
**Density**: 8.19 Mg/m³


# 4
A relaxed structure of Tl2InSe. Source: the Alexandria database, functional PBE.

Lattice parameters (Å, degrees): 5.4888 5.4888 5.4888 60.00 60.00 60.00
Fractional positions:
Tl: 0.2500 0.2500 0.2500
Tl: 0.7500 0.7500 0.7500
Se: 0.0000 0.0000 0.0000
In: 0.5000 0.5000 0.5000

Calculated values
**Crystal system**: cubic
**ΔE to the lowest computed polymorph**: 168 meV per atom
**Uncorrected formation energy**: -0.06 eV per atom
**Density**: 8.56 Mg/m³


# 5
A relaxed structure of ScSiAg3. Source: the Alexandria database, functional PBE.

Lattice parameters (Å, degrees): 4.7395 4.7395 4.7395 90.00 90.00 90.00
Site moments in Bohr magnetons follow the coordinates.
Fractional positions:
Sc: 0.5000 0.5000 0.5000  0.33
Si: 0.0000 0.0000 0.0000  -0.01
Ag: 0.0000 0.5000 0.0000  0.01
Ag: 0.0000 0.0000 0.5000  0.01
Ag: 0.5000 0.0000 0.0000  0.01

Calculated values
**Crystal system**: cubic
**ΔE to the lowest computed polymorph**: 0 meV per atom
**Uncorrected formation energy**: 0.26 eV per atom
**Density**: 6.19 Mg/m³


# 6
A relaxed structure of Nd3SmYHo. Source: the Alexandria database, functional PBE.

Lattice parameters (Å, degrees): 5.9644 6.4338 11.9239 90.00 90.00 117.61
Fractional positions:
Nd: 0.6679 0.3359 0.4764
Nd: 0.3321 0.6641 0.5236
Nd: 0.3321 0.6641 0.9764
Nd: 0.6679 0.3359 0.0236
Nd: 0.1391 0.2782 0.7500
Nd: 0.8609 0.7218 0.2500
Sm: 0.0000 0.0000 0.5000
Sm: 0.0000 0.0000 0.0000
Y: 0.8310 0.6621 0.7500
Y: 0.1690 0.3379 0.2500
Ho: 0.5214 0.0428 0.7500
Ho: 0.4786 0.9572 0.2500

Calculated values
**Crystal system**: orthorhombic
**Formation energy**: 0.12 eV per atom
**Density**: 6.86 Mg/m³


Number 1: calculated total energy -16.887 eV for the cell shown. Number 2: calculated total energy -24.817 eV for the cell shown. Number 3: calculated total energy -16.089 eV for the cell shown. Number 4: calculated total energy -11.197 eV for the cell shown. Number 5: calculated total energy -19.019 eV for the cell shown. Number 6: calculated total energy -58.707 eV for the cell shown.